No. 1
PrNdTlRh: optimized geometry, PBE-GGA.

Geometry as POSCAR:
```
PrNdTlRh
1.0
-5.2918 -0.1605 -0.2278
-2.8318 -0.4390 4.4575
-2.8529 4.1117 1.7423
Nd Tl Rh Pr
1 1 1 1
Cartesian
-8.2324 2.6341 4.4790 Nd
0.0000 0.0000 0.0000 Tl
-5.4882 1.7561 2.9860 Rh
-2.7441 0.8780 1.4930 Pr
```

Results
Energy of formation (eV/f.u.): -1.499

---

No. 2
Pr3Nd3Tl2Rh: optimized geometry, PBE-GGA.

Geometry as POSCAR:
```
Pr3Nd3Tl2Rh
1.0
-1.1795 -1.8861 -3.2132
6.1208 -6.4204 1.5219
-8.2681 -0.7502 3.4753
Nd Pr Tl Rh
3 3 2 1
Cartesian
2.4450 -2.5647 0.6080 Nd
-1.2895 -4.3062 3.0010 Nd
-3.3028 -0.2997 1.3883 Nd
-6.8565 -1.5117 1.0275 Pr
4.0495 -5.8094 -0.4530 Pr
-1.1095 -2.6787 -0.3970 Pr
-4.0615 -3.5833 1.2176 Tl
0.7348 -5.4734 0.5665 Tl
0.0000 0.0000 0.0000 Rh
```

Results
Energy of formation (eV/f.u.): -3.237

---

No. 3
Pr2NdRu: optimized geometry, PBE-GGA.

Geometry as POSCAR:
```
Pr2NdRu
1.0
3.5578 0.0000 0.0000
0.0000 3.5578 0.0000
0.0000 0.0000 9.4394
Pr Nd Ru
2 1 1
Cartesian
0.0000 0.0000 7.7198 Pr
0.0000 0.0000 1.7196 Pr
1.7789 1.7789 4.7197 Nd
1.7789 1.7789 0.0000 Ru
```

Results
Energy of formation (eV/f.u.): -0.084
Offset from the most stable computed form (eV per atom): 0.153

---

Question: The highest energy of formation belongs to which entry?
Answer: Pr2NdRu